# 1
Compound: KAcCuF6
Source: the Alexandria database
Functional: PBE
Structure: relaxed

Structure (POSCAR):
```
KAcCuF6
1.0
-3.063 5.160 -1.317
-3.080 -5.170 1.237
-0.130 2.402 9.716
K Ac Cu F
2 2 2 12
Direct
0.000 0.000 0.000
0.000 0.000 0.500
0.333 0.667 0.250
0.667 0.333 0.750
0.667 0.333 0.250
0.333 0.667 0.750
0.655 0.611 0.139
0.956 0.345 0.139
0.345 0.956 0.639
0.044 0.655 0.861
0.389 0.345 0.361
0.956 0.611 0.361
0.611 0.956 0.861
0.655 0.044 0.361
0.044 0.389 0.639
0.389 0.044 0.139
0.611 0.655 0.639
0.345 0.389 0.861
```

Results
* volume: 18.2 Å³ per atom
* total moment: 2.00 Bohr magnetons per cell
* raw formation energy: -2.899 eV per atom

---

# 2
Compound: Li2AcCuF8
Source: the Alexandria database
Functional: PBE
Structure: relaxed

Structure (POSCAR):
```
Li2AcCuF8
1.0
-2.941 -2.918 -3.622
-1.418 0.019 5.316
-4.014 5.398 -1.090
Li Ac Cu F
2 1 1 8
Direct
0.333 0.667 0.753
0.667 0.333 0.247
0.000 0.000 0.500
0.000 0.000 0.000
0.151 0.301 0.814
0.151 0.849 0.814
0.699 0.849 0.814
0.301 0.151 0.186
0.667 0.333 0.515
0.333 0.667 0.485
0.849 0.699 0.186
0.849 0.151 0.186
```

Results
* volume: 14.9 Å³ per atom
* total moment: 2.11 Bohr magnetons per cell
* raw formation energy: -2.708 eV per atom